1.
BeRhBr2: relaxed, GGA-PBE.

Lattice parameters (Å, degrees): 3.3992 3.7477 6.2868 90.00 90.00 90.00
Last column: nearest neighbours and their distance in Å.
Space group Pmmm (No. 47)
Unique sites:
Be: 0.0000 0.0000 0.0000 x1  4 Br 2.53
Rh: 0.5000 0.0000 0.5000 x1  4 Br 2.53
Br: 0.0000 0.5000 0.5000 x1  4 Rh 2.53
Br: 0.5000 0.5000 0.0000 x1  4 Be 2.53

Results
E_form (uncorrected) = 539 meV per atom
ρ = 5.6 g/cm3
energy above the most stable polymorph in this dataset = 944 meV/atom

---

2.
NpTcSb: relaxed, GGA-PBE.

Lattice parameters (Å, degrees): 6.5320 6.5320 6.5320 90.00 90.00 90.00
Last column: nearest neighbours and their distance in Å.
Space group F-43m (No. 216)
Unique sites:
Np: 0.0000 0.0000 0.0000 x4  4 Tc 2.83
Tc: 0.2500 0.2500 0.7500 x4  4 Sb 2.83, 4 Np 2.83
Sb: 0.0000 0.0000 0.5000 x4  4 Tc 2.83

Results
E_form (uncorrected) = 126 meV per atom
ρ = 10.9 g/cm3
energy above the most stable polymorph in this dataset = 194 meV/atom

---

3.
TeIr2Br: relaxed, GGA-PBE.

Lattice parameters (Å, degrees): 6.3076 6.3076 9.7199 90.00 90.00 90.00
Last column: nearest neighbours and their distance in Å.
Space group I-42d (No. 122)
Unique sites:
Te: 0.0000 0.0000 0.0000 x4  4 Ir 2.53
Ir: 0.2472 0.2500 0.1250 x8  2 Te 2.53, 2 Br 2.55
Br: 0.0000 0.0000 0.5000 x4  4 Ir 2.55

Results
E_form (uncorrected) = 725 meV per atom
ρ = 10.2 g/cm3
energy above the most stable polymorph in this dataset = 530 meV/atom

---

4.
Ca3Zn: relaxed, GGA-PBE.

Lattice parameters (Å, degrees): 3.9266 3.9266 10.6609 90.00 90.00 120.00
Last column: nearest neighbours and their distance in Å.
Space group P-6m2 (No. 187)
Unique sites:
Ca: 0.0000 0.0000 0.0000 x1  12 Ca 3.93-3.94
Ca: 0.3333 0.6667 0.3019 x2  3 Zn 3.10
Zn: 0.0000 0.0000 0.5000 x1  6 Ca 3.10

Results
ΔH_f (0 K) = -29 meV/atom
ρ = 2.2 g/cm3
energy above the most stable polymorph in this dataset = 98 meV/atom

---

5.
LaCeS3: relaxed, GGA-PBE.

Lattice parameters (Å, degrees): 4.0956 6.8537 8.8547 90.00 90.00 90.00
Last column: nearest neighbours and their distance in Å.
Space group Pmmn (No. 59, origin choice 2)
Unique sites:
La: 0.2500 0.2500 0.1488 x2  6 S 2.82-3.04
Ce: 0.2500 0.7500 0.3978 x2  7 S 2.83-2.91
S: 0.2500 0.5209 0.6694 x4  3 Ce 2.83-2.87, 2 La 3.04, 1 S 3.14
S: 0.2500 0.7500 0.0693 x2  2 La 2.82, 1 Ce 2.91

Results
E_form (uncorrected) = -2065 meV per atom
ρ = 5.0 g/cm3
energy above the most stable polymorph in this dataset = 44 meV/atom

---

6.
PmHoPt3: relaxed, GGA-PBE.

Lattice parameters (Å, degrees): 3.8459 27.0205 4.2610 90.00 90.00 90.00
Last column: nearest neighbours and their distance in Å.
Space group Cmcm (No. 63)
Unique sites:
Pm: 0.0000 0.0741 0.2500 x4  10 Pt 3.13-3.37
Ho: 0.0000 0.2070 0.7500 x4  7 Pt 2.87-2.94
Pt: 0.0000 0.3131 0.7500 x4  2 Pt 2.72, 5 Ho 2.87-2.92
Pt: 0.0000 0.3754 0.2500 x4  3 Pt 2.60-2.72
Pt: 0.0000 0.4718 0.2500 x4  3 Pt 2.60-2.62

Results
ΔH_f (0 K) = -1114 meV/atom
ρ = 13.4 g/cm3

---

7.
CsK2AgHg: relaxed, GGA-PBE.

Lattice parameters (Å, degrees): 6.5109 6.5109 7.1010 90.00 90.00 90.00
Last column: nearest neighbours and their distance in Å.
Space group P4/mmm (No. 123)
Unique sites:
Cs: 0.0000 0.0000 0.0000 x1  2 Ag 3.55
K: 0.0000 0.5000 0.5000 x2  2 Ag 3.26
Ag: 0.0000 0.0000 0.5000 x1  4 K 3.26, 2 Cs 3.55
Hg: 0.5000 0.5000 0.0000 x1  4 Cs 4.60, 8 K 4.82

Results
ΔH_f (0 K) = 59 meV/atom
ρ = 2.9 g/cm3
energy above the most stable polymorph in this dataset = 62 meV/atom

---

8.
AcPtI: relaxed, GGA-PBE.

Lattice parameters (Å, degrees): 4.7138 4.7363 8.9590 90.00 97.61 90.00
Last column: nearest neighbours and their distance in Å.
Space group P2_1/m (No. 11)
Unique sites:
Ac: 0.1575 0.2500 0.1989 x2  4 Pt 2.91-3.18
Pt: 0.3605 0.7500 0.0183 x2  2 Pt 2.75, 1 Ac 2.91
I: 0.2815 0.2500 0.6253 x2  1 Pt 3.41, 5 Ac 3.64-3.79

Results
E_form (uncorrected) = -1195 meV per atom
ρ = 9.2 g/cm3
energy above the most stable polymorph in this dataset = 118 meV/atom

---

> Look up the ρ of the third one.

10.2 g/cm3